Arrangement a

First-principles (PBE) data for a relaxed CsAg2I crystal, as listed in the Alexandria database.

abc: 5.480 5.480 23.204
angles: 90.00 90.00 90.00
Element x y z (fractional)
Cs 0.000 0.250 0.375
Cs 0.000 0.750 0.625
Cs 0.500 0.250 0.125
Cs 0.500 0.750 0.875
Ag 0.000 0.000 0.000
Ag 0.000 0.500 0.000
Ag 0.250 0.250 0.750
Ag 0.250 0.750 0.250
Ag 0.500 0.000 0.500
Ag 0.500 0.500 0.500
Ag 0.750 0.250 0.750
Ag 0.750 0.750 0.250
I 0.000 0.250 0.875
I 0.000 0.750 0.125
I 0.500 0.250 0.625
I 0.500 0.750 0.375

Results
- DOS(E_F) (states/eV/atom) = 0.501
- volume (Å³ per atom) = 43.6

Arrangement b

First-principles (PBE) data for a relaxed CsAg2I crystal, as listed in the Alexandria database.

abc: 8.167 8.167 8.167
angles: 90.00 90.00 90.00
Element x y z (fractional)
Cs 0.000 0.000 0.000
Cs 0.000 0.500 0.500
Cs 0.500 0.000 0.500
Cs 0.500 0.500 0.000
Ag 0.250 0.250 0.250
Ag 0.250 0.250 0.750
Ag 0.250 0.750 0.250
Ag 0.250 0.750 0.750
Ag 0.750 0.250 0.250
Ag 0.750 0.250 0.750
Ag 0.750 0.750 0.250
Ag 0.750 0.750 0.750
I 0.000 0.000 0.500
I 0.000 0.500 0.000
I 0.500 0.000 0.000
I 0.500 0.500 0.500

Results
- DOS(E_F) (states/eV/atom) = 0.668
- volume (Å³ per atom) = 34.0

Energies relative to the minimum, eV/atom: arrangement a 0.000; arrangement b 0.342

Arrangement a

First-principles (PBE) data for a relaxed Cs2LaAgI6 crystal, as listed in the Alexandria database.

abc: 8.646 8.646 7.308
angles: 90.00 90.00 120.00
Element x y z (fractional)
Cs 0.333 0.667 0.248
Cs 0.667 0.333 0.752
La 0.000 0.000 0.500
Ag 0.000 0.000 0.000
I 0.170 0.340 0.756
I 0.170 0.830 0.756
I 0.340 0.170 0.244
I 0.660 0.830 0.756
I 0.830 0.170 0.244
I 0.830 0.660 0.244

Results
- DOS(E_F) (states/eV/atom) = 0.000
- volume (Å³ per atom) = 47.3

Arrangement b

First-principles (PBE) data for a relaxed Cs2LaAgI6 crystal, as listed in the Alexandria database.

abc: 8.779 8.779 8.779
angles: 120.13 120.13 89.77
Element x y z (fractional)
Cs 0.250 0.750 0.500
Cs 0.750 0.250 0.500
La 0.000 0.000 0.000
Ag 0.500 0.500 0.000
I 0.253 0.253 0.000
I 0.254 0.254 0.509
I 0.254 0.746 0.000
I 0.746 0.254 0.000
I 0.746 0.746 0.491
I 0.747 0.747 0.000

Results
- DOS(E_F) (states/eV/atom) = 0.000
- volume (Å³ per atom) = 47.7

Energies relative to the minimum, eV/atom: arrangement a 0.000; arrangement b 0.020

Arrangement a

First-principles (PBE) data for a relaxed CsAgIN2 crystal, as listed in the Alexandria database.

abc: 4.916 4.916 6.019
angles: 90.00 90.00 90.00
Element x y z (fractional)
Cs 0.000 0.000 0.000
Ag 0.500 0.500 0.500
I 0.500 0.500 0.000
N 0.000 0.500 0.500
N 0.500 0.000 0.500

Results
- DOS(E_F) (states/eV/atom) = 0.191
- volume (Å³ per atom) = 29.1

Arrangement b

First-principles (PBE) data for a relaxed CsAgIN2 crystal, as listed in the Alexandria database.

abc: 4.533 4.533 7.922
angles: 90.00 90.00 90.00
Element x y z (fractional)
Cs 0.000 0.000 0.000
Ag 0.500 0.500 0.500
I 0.000 0.000 0.500
N 0.000 0.500 0.000
N 0.500 0.000 0.000

Results
- DOS(E_F) (states/eV/atom) = 0.396
- volume (Å³ per atom) = 32.6

Energies relative to the minimum, eV/atom: arrangement a 0.000; arrangement b 0.729

Arrangement a

First-principles (PBE) data for a relaxed Cs2NdAgI6 crystal, as listed in the Alexandria database.

abc: 8.622 8.622 7.241
angles: 90.00 90.00 120.00
Element x y z (fractional)
Cs 0.333 0.667 0.246
Cs 0.667 0.333 0.754
Nd 0.000 0.000 0.000
Ag 0.000 0.000 0.500
I 0.169 0.339 0.747
I 0.169 0.831 0.747
I 0.339 0.169 0.253
I 0.661 0.831 0.747
I 0.831 0.169 0.253
I 0.831 0.661 0.253

Results
- DOS(E_F) (states/eV/atom) = 0.000
- volume (Å³ per atom) = 46.6

Arrangement b

First-principles (PBE) data for a relaxed Cs2NdAgI6 crystal, as listed in the Alexandria database.

abc: 8.719 8.719 8.719
angles: 60.00 60.00 60.00
Element x y z (fractional)
Cs 0.250 0.250 0.250
Cs 0.750 0.750 0.750
Nd 0.000 0.000 0.000
Ag 0.500 0.500 0.500
I 0.253 0.253 0.747
I 0.253 0.747 0.253
I 0.253 0.747 0.747
I 0.747 0.253 0.253
I 0.747 0.253 0.747
I 0.747 0.747 0.253

Results
- DOS(E_F) (states/eV/atom) = 0.000
- volume (Å³ per atom) = 46.9

Energies relative to the minimum, eV/atom: arrangement a 0.000; arrangement b 0.024

Arrangement a

First-principles (PBE) data for a relaxed Cs2PrAgI6 crystal, as listed in the Alexandria database.

abc: 8.638 8.638 7.260
angles: 90.00 90.00 120.00
Element x y z (fractional)
Cs 0.333 0.667 0.246
Cs 0.667 0.333 0.754
Pr 0.000 0.000 0.000
Ag 0.000 0.000 0.500
I 0.170 0.340 0.746
I 0.170 0.830 0.746
I 0.340 0.170 0.254
I 0.660 0.830 0.746
I 0.830 0.170 0.254
I 0.830 0.660 0.254

Results
- DOS(E_F) (states/eV/atom) = 0.000
- volume (Å³ per atom) = 46.9

Arrangement b

First-principles (PBE) data for a relaxed Cs2PrAgI6 crystal, as listed in the Alexandria database.

abc: 8.745 8.745 8.745
angles: 60.00 60.00 60.00
Element x y z (fractional)
Cs 0.250 0.250 0.250
Cs 0.750 0.750 0.750
Pr 0.000 0.000 0.000
Ag 0.500 0.500 0.500
I 0.253 0.253 0.747
I 0.253 0.747 0.253
I 0.253 0.747 0.747
I 0.747 0.253 0.253
I 0.747 0.253 0.747
I 0.747 0.747 0.253

Results
- DOS(E_F) (states/eV/atom) = 0.000
- volume (Å³ per atom) = 47.3

Energies relative to the minimum, eV/atom: arrangement a 0.000; arrangement b 0.023

Arrangement a

First-principles (PBE) data for a relaxed CsAgTe2I crystal, as listed in the Alexandria database.

abc: 5.534 5.534 6.326
angles: 90.00 90.00 90.00
Element x y z (fractional)
Cs 0.000 0.000 0.000
Ag 0.500 0.500 0.500
Te 0.000 0.500 0.500
Te 0.500 0.000 0.500
I 0.500 0.500 0.000

Results
- DOS(E_F) (states/eV/atom) = 1.581
- volume (Å³ per atom) = 38.8

Arrangement b

First-principles (PBE) data for a relaxed CsAgTe2I crystal, as listed in the Alexandria database.

abc: 6.469 6.469 7.043
angles: 90.00 90.00 90.00
Element x y z (fractional)
Cs 0.000 0.000 0.000
Ag 0.500 0.500 0.500
Te 0.000 0.500 0.000
Te 0.500 0.000 0.000
I 0.000 0.000 0.500

Results
- DOS(E_F) (states/eV/atom) = 1.716
- volume (Å³ per atom) = 58.9

Energies relative to the minimum, eV/atom: arrangement a 0.000; arrangement b 1.072

Arrangement a

First-principles (PBE) data for a relaxed Cs2In2Ag crystal, as listed in the Alexandria database.

abc: 7.768 7.768 6.547
angles: 90.00 90.00 90.00
Element x y z (fractional)
Cs 0.186 0.314 0.000
Cs 0.314 0.814 0.000
Cs 0.686 0.186 0.000
Cs 0.814 0.686 0.000
In 0.134 0.634 0.500
In 0.366 0.134 0.500
In 0.634 0.866 0.500
In 0.866 0.366 0.500
Ag 0.000 0.000 0.500
Ag 0.500 0.500 0.500

Results
- DOS(E_F) (states/eV/atom) = 0.724
- volume (Å³ per atom) = 39.5

Arrangement b

First-principles (PBE) data for a relaxed Cs2In2Ag crystal, as listed in the Alexandria database.

abc: 5.573 5.573 16.113
angles: 90.00 90.00 90.00
Element x y z (fractional)
Cs 0.000 0.500 0.250
Cs 0.000 0.500 0.750
Cs 0.500 0.000 0.250
Cs 0.500 0.000 0.750
In 0.000 0.000 0.086
In 0.000 0.000 0.914
In 0.500 0.500 0.414
In 0.500 0.500 0.586
Ag 0.000 0.000 0.500
Ag 0.500 0.500 0.000

Results
- DOS(E_F) (states/eV/atom) = 0.753
- volume (Å³ per atom) = 50.0

Arrangement c

First-principles (PBE) data for a relaxed Cs2In2Ag crystal, as listed in the Alexandria database.

abc: 7.559 7.559 8.372
angles: 90.00 90.00 73.81
Element x y z (fractional)
Cs 0.192 0.192 0.000
Cs 0.192 0.192 0.500
Cs 0.808 0.808 0.000
Cs 0.808 0.808 0.500
In 0.342 0.658 0.581
In 0.342 0.658 0.919
In 0.658 0.342 0.081
In 0.658 0.342 0.419
Ag 0.371 0.629 0.250
Ag 0.629 0.371 0.750

Results
- DOS(E_F) (states/eV/atom) = 0.519
- volume (Å³ per atom) = 45.9

Energies relative to the minimum, eV/atom: arrangement a 0.101; arrangement b 0.472; arrangement c 0.000

Arrangement a

First-principles (PBE) data for a relaxed CsIn3Ag crystal, as listed in the Alexandria database.

abc: 7.515 7.515 6.488
angles: 90.00 90.00 119.94
Element x y z (fractional)
Cs 0.166 0.834 0.750
Cs 0.834 0.166 0.250
In 0.131 0.315 0.750
In 0.315 0.131 0.250
In 0.315 0.685 0.250
In 0.685 0.315 0.750
In 0.685 0.869 0.750
In 0.869 0.685 0.250
Ag 0.500 0.500 0.000
Ag 0.500 0.500 0.500

Results
- DOS(E_F) (states/eV/atom) = 0.785
- volume (Å³ per atom) = 31.8

Arrangement b

First-principles (PBE) data for a relaxed CsIn3Ag crystal, as listed in the Alexandria database.

abc: 5.606 5.606 5.606
angles: 90.00 90.00 90.00
Element x y z (fractional)
Cs 0.000 0.000 0.000
In 0.000 0.500 0.500
In 0.500 0.000 0.500
In 0.500 0.500 0.000
Ag 0.500 0.500 0.500

Results
- DOS(E_F) (states/eV/atom) = 0.935
- volume (Å³ per atom) = 35.2

Energies relative to the minimum, eV/atom: arrangement a 0.000; arrangement b 0.060

Arrangement a

First-principles (PBE) data for a relaxed CsK3Ag crystal, as listed in the Alexandria database.

abc: 7.933 7.933 7.933
angles: 90.00 90.00 90.00
Element x y z (fractional)
Cs 0.000 0.000 0.000
K 0.000 0.000 0.500
K 0.000 0.500 0.000
K 0.500 0.000 0.000
Ag 0.500 0.500 0.500

Results
- DOS(E_F) (states/eV/atom) = 1.506
- volume (Å³ per atom) = 99.9

Arrangement b

First-principles (PBE) data for a relaxed CsK3Ag crystal, as listed in the Alexandria database.

abc: 6.887 6.887 6.887
angles: 90.00 90.00 90.00
Element x y z (fractional)
Cs 0.000 0.000 0.000
K 0.000 0.500 0.500
K 0.500 0.000 0.500
K 0.500 0.500 0.000
Ag 0.500 0.500 0.500

Results
- DOS(E_F) (states/eV/atom) = 0.818
- volume (Å³ per atom) = 65.3

Arrangement c

First-principles (PBE) data for a relaxed CsK3Ag crystal, as listed in the Alexandria database.

abc: 4.978 14.662 14.662
angles: 142.60 90.00 90.00
Element x y z (fractional)
Cs 0.250 0.072 0.928
Cs 0.750 0.928 0.072
K 0.250 0.120 0.454
K 0.250 0.550 0.955
K 0.250 0.582 0.451
K 0.750 0.451 0.582
K 0.750 0.454 0.120
K 0.750 0.955 0.550
Ag 0.250 0.246 0.300
Ag 0.750 0.300 0.246

Results
- DOS(E_F) (states/eV/atom) = 0.706
- volume (Å³ per atom) = 65.0

Energies relative to the minimum, eV/atom: arrangement a 0.585; arrangement b 0.009; arrangement c 0.000

Arrangement a

First-principles (PBE) data for a relaxed Cs2KAg2 crystal, as listed in the Alexandria database.

abc: 10.704 10.704 4.278
angles: 90.00 90.00 90.00
Element x y z (fractional)
Cs 0.134 0.366 0.000
Cs 0.366 0.866 0.000
Cs 0.634 0.134 0.000
Cs 0.866 0.634 0.000
K 0.000 0.000 0.000
K 0.500 0.500 0.000
Ag 0.166 0.666 0.500
Ag 0.334 0.166 0.500
Ag 0.666 0.834 0.500
Ag 0.834 0.334 0.500

Results
- DOS(E_F) (states/eV/atom) = 0.341
- volume (Å³ per atom) = 49.0

Arrangement b

First-principles (PBE) data for a relaxed Cs2KAg2 crystal, as listed in the Alexandria database.

abc: 5.812 5.812 15.425
angles: 90.00 90.00 90.00
Element x y z (fractional)
Cs 0.000 0.500 0.250
Cs 0.000 0.500 0.750
Cs 0.500 0.000 0.250
Cs 0.500 0.000 0.750
K 0.000 0.000 0.000
K 0.500 0.500 0.500
Ag 0.000 0.000 0.409
Ag 0.000 0.000 0.591
Ag 0.500 0.500 0.091
Ag 0.500 0.500 0.909

Results
- DOS(E_F) (states/eV/atom) = 0.832
- volume (Å³ per atom) = 52.1

Energies relative to the minimum, eV/atom: arrangement a 0.000; arrangement b 0.048

Arrangement a

First-principles (PBE) data for a relaxed Cs2KAg2 crystal, as listed in the Alexandria database.

abc: 10.150 10.150 4.936
angles: 90.00 90.00 90.00
Element x y z (fractional)
Cs 0.145 0.355 0.000
Cs 0.355 0.855 0.000
Cs 0.645 0.145 0.000
Cs 0.855 0.645 0.000
K 0.000 0.000 0.500
K 0.500 0.500 0.500
Ag 0.155 0.655 0.500
Ag 0.345 0.155 0.500
Ag 0.655 0.845 0.500
Ag 0.845 0.345 0.500

Results
- DOS(E_F) (states/eV/atom) = 0.545
- volume (Å³ per atom) = 50.9

Arrangement b

First-principles (PBE) data for a relaxed Cs2KAg2 crystal, as listed in the Alexandria database.

abc: 5.202 17.937 5.526
angles: 90.00 90.00 90.00
Element x y z (fractional)
Cs 0.000 0.150 0.000
Cs 0.000 0.850 0.000
Cs 0.500 0.350 0.000
Cs 0.500 0.650 0.000
K 0.000 0.500 0.500
K 0.500 0.000 0.500
Ag 0.000 0.286 0.500
Ag 0.000 0.714 0.500
Ag 0.500 0.214 0.500
Ag 0.500 0.786 0.500

Results
- DOS(E_F) (states/eV/atom) = 0.638
- volume (Å³ per atom) = 51.6

Energies relative to the minimum, eV/atom: arrangement a 0.016; arrangement b 0.000